# 1
TbPmSe3 | the Alexandria database | GGA-PBE | relaxed; energy relative to the lowest polymorph listed for this composition = 0.12 eV per formula unit; size of the total moment = 0.0 Bohr magnetons per cell; space-group type = No. 11; formation energy from raw total energies = -9.3 eV per formula unit
1.0
-3.7136 0.5324 1.6914
2.9140 -2.5418 7.1981
1.7555 7.9643 1.3476
Tb Se Pm
2 6 2
direct
0.7500 0.1450 0.6785
0.2500 0.8550 0.3215
0.2500 0.8955 0.6801
0.2500 0.3767 0.6114
0.7500 0.6233 0.3886
0.2500 0.6814 0.0214
0.7500 0.3186 0.9786
0.7500 0.1045 0.3199
0.7500 0.6191 0.7696
0.2500 0.3809 0.2304

---

# 2
TbPmSe3 | the Alexandria database | GGA-PBE | relaxed; energy relative to the lowest polymorph listed for this composition = 0.00 eV per formula unit; size of the total moment = 0.0 Bohr magnetons per cell; space-group type = No. 62; formation energy from raw total energies = -9.5 eV per formula unit
1.0
4.1354 0.0000 0.0000
0.0000 7.7411 0.0000
0.0000 0.0000 16.1298
Se Pm Tb
12 4 4
direct
0.7500 0.4920 0.8932
0.2500 0.1513 0.7835
0.2500 0.6513 0.7165
0.7500 0.3487 0.2835
0.2500 0.8784 0.9356
0.7500 0.9920 0.6068
0.7500 0.1216 0.0644
0.7500 0.8487 0.2165
0.2500 0.5080 0.1068
0.7500 0.6216 0.4356
0.2500 0.3784 0.5644
0.2500 0.0080 0.3932
0.7500 0.8602 0.7980
0.7500 0.3602 0.7020
0.2500 0.1398 0.2020
0.2500 0.6398 0.2980
0.2500 0.2696 0.9574
0.7500 0.2304 0.4574
0.2500 0.7696 0.5426
0.7500 0.7304 0.0426

---

# 3
TbPmTeSe | the Alexandria database | GGA-PBE | relaxed; size of the total moment = 0.0 Bohr magnetons per cell; space-group type = No. 160; formation energy from raw total energies = -6.1 eV per formula unit
1.0
4.1234 -0.0018 0.0000
-2.0624 3.5734 0.0005
-2.0587 -1.1892 7.6416
Se Te Pm Tb
1 1 1 1
direct
0.4762 0.1360 0.6276
0.1301 0.9630 0.1083
0.9739 0.3849 0.3736
0.2977 0.5468 0.8602

---

# 4
Tb2Pm2Te2Se3 | the Alexandria database | GGA-PBE | relaxed; size of the total moment = 0.0 Bohr magnetons per cell; space-group type = No. 139; formation energy from raw total energies = -13.0 eV per formula unit
1.0
5.6381 0.0000 0.0000
0.0000 5.6381 0.0000
-2.8191 -2.8191 7.9488
Tb Pm Te Se
2 2 2 3
direct
0.5000 0.0000 0.0000
0.0000 0.5000 0.0000
0.1949 0.1949 0.3898
0.8051 0.8051 0.6102
0.6052 0.6052 0.2104
0.3948 0.3948 0.7896
0.0000 0.0000 0.0000
0.7500 0.2500 0.5000
0.2500 0.7500 0.5000

---

# 5
Tb2PmThSe4 | the Alexandria database | GGA-PBE | relaxed; size of the total moment = 0.0 Bohr magnetons per cell; space-group type = No. 10; formation energy from raw total energies = -13.8 eV per formula unit
1.0
-1.0759 -1.7231 -3.5670
1.2909 -6.5766 2.7875
-6.0085 -2.4796 3.0100
Se Th Tb Pm
4 1 2 1
direct
0.0000 0.2397 0.2525
0.5000 0.2385 0.7551
0.0000 0.7603 0.7475
0.5000 0.7615 0.2449
0.0000 0.5000 0.5000
0.0000 0.0000 0.0000
0.5000 0.0000 0.5000
0.5000 0.5000 0.0000

---

# 6
Tb4Pm3ThSe8 | the Alexandria database | GGA-PBE | relaxed; size of the total moment = 0.0 Bohr magnetons per cell; space-group type = No. 166; formation energy from raw total energies = -28.2 eV per formula unit
1.0
-2.3285 -7.8657 -0.8094
5.2816 -2.1897 6.0856
-5.6398 5.8432 1.4141
Th Se Tb Pm
1 8 4 3
direct
0.0000 0.5000 0.0000
0.7533 0.7598 0.5066
0.2470 0.2398 0.9934
0.2536 0.7602 0.0066
0.7464 0.2398 0.4928
0.2467 0.2402 0.4934
0.7464 0.2398 0.9934
0.7530 0.7602 0.0066
0.2536 0.7602 0.5072
0.0000 0.0000 0.0000
0.0000 0.0000 0.5000
0.5000 0.0000 0.5000
0.5000 0.0000 0.0000
0.5000 0.5000 0.0000
0.5000 0.5000 0.5000
0.0000 0.5000 0.5000

---

# 7
TbPm2ThSe4 | the Alexandria database | GGA-PBE | relaxed; size of the total moment = 0.0 Bohr magnetons per cell; space-group type = No. 10; formation energy from raw total energies = -13.9 eV per formula unit
1.0
-0.8900 -3.9461 0.9173
3.1427 -2.1352 -6.1360
7.0511 -1.3004 1.2469
Se Pm Tb Th
4 2 1 1
direct
0.5000 0.2557 0.7428
0.0000 0.7489 0.7447
0.5000 0.7443 0.2572
0.0000 0.2511 0.2553
0.5000 0.0000 0.5000
0.0000 0.0000 0.0000
0.0000 0.5000 0.5000
0.5000 0.5000 0.0000

---

# 8
TbPm3Th2Se6 | the Alexandria database | GGA-PBE | relaxed; size of the total moment = 0.0 Bohr magnetons per cell; space-group type = No. 12; formation energy from raw total energies = -20.6 eV per formula unit
1.0
7.2332 0.0064 -0.0001
-3.6093 6.2683 -0.0001
-1.2091 -2.0936 6.8452
Pm Tb Th Se
3 1 2 6
direct
0.1682 0.8318 0.5000
0.8318 0.1682 0.5000
0.5000 0.5000 0.5000
0.0000 0.0000 0.0000
0.6668 0.3332 0.0000
0.3332 0.6668 0.0000
0.5901 0.9172 0.7515
0.2437 0.2437 0.7502
0.7563 0.7563 0.2498
0.4099 0.0828 0.2485
0.0828 0.4099 0.2485
0.9172 0.5901 0.7515

---

# 9
Tb3Pm2ThSe6 | the Alexandria database | GGA-PBE | relaxed; size of the total moment = 0.0 Bohr magnetons per cell; space-group type = No. 12; formation energy from raw total energies = -21.0 eV per formula unit
1.0
-3.9542 0.8516 -0.8279
-1.8112 -8.1374 0.2801
0.8049 2.4298 8.9496
Th Se Tb Pm
1 6 3 2
direct
0.5000 0.0000 0.0000
0.0029 0.7423 0.0058
0.6701 0.0780 0.3403
0.3299 0.9220 0.6597
0.3339 0.4117 0.6679
0.6661 0.5883 0.3321
0.9971 0.2577 0.9942
0.5000 0.5000 0.0000
0.1658 0.8342 0.3316
0.8342 0.1658 0.6684
0.1640 0.3286 0.3281
0.8360 0.6714 0.6719

---

# 10
TbPm2Th3Se6 | the Alexandria database | GGA-PBE | relaxed; size of the total moment = 0.0 Bohr magnetons per cell; space-group type = No. 12; formation energy from raw total energies = -20.0 eV per formula unit
1.0
-4.2940 -5.1690 2.3081
7.0020 -1.1796 -0.2535
-0.2271 4.4449 5.9211
Pm Se Th Tb
2 6 3 1
direct
0.3344 0.6656 0.0000
0.6656 0.3344 0.0000
0.4071 0.0796 0.2401
0.0796 0.4071 0.2401
0.9204 0.5929 0.7599
0.5929 0.9204 0.7599
0.2446 0.2446 0.7537
0.7554 0.7554 0.2463
0.1712 0.8288 0.5000
0.5000 0.5000 0.5000
0.8288 0.1712 0.5000
0.0000 0.0000 0.0000

---

# 11
TbPm3Th4Se8 | the Alexandria database | GGA-PBE | relaxed; size of the total moment = 0.0 Bohr magnetons per cell; space-group type = No. 166; formation energy from raw total energies = -26.8 eV per formula unit
1.0
-4.8599 6.3196 2.1409
-3.6125 -4.8083 5.9927
8.2029 0.9181 -0.0026
Pm Se Th Tb
3 8 4 1
direct
0.5000 0.5000 0.5000
0.0000 0.5000 0.5000
0.5000 0.5000 0.0000
0.7513 0.7425 0.9970
0.2515 0.2549 0.5030
0.2487 0.2575 0.0030
0.7549 0.2580 0.5098
0.2451 0.7420 0.4902
0.2457 0.7425 0.9970
0.7485 0.7451 0.4970
0.7543 0.2575 0.0030
0.5000 0.0000 0.5000
0.0000 0.0000 0.0000
0.5000 0.0000 0.0000
0.0000 0.0000 0.5000
0.0000 0.5000 0.0000

---

# 12
TbPmTl2Se4 | the Alexandria database | GGA-PBE | relaxed; size of the total moment = 0.0 Bohr magnetons per cell; space-group type = No. 10; formation energy from raw total energies = -11.1 eV per formula unit
1.0
4.2501 0.0000 0.0000
0.0000 7.3615 0.1274
0.0000 -2.5859 7.7202
Tb Pm Tl Se
1 1 2 4
direct
0.0000 0.0000 0.0000
0.5000 0.5000 0.0000
0.5000 0.0000 0.5000
0.0000 0.5000 0.5000
0.0000 0.2590 0.7916
0.5000 0.2305 0.2061
0.0000 0.7410 0.2084
0.5000 0.7695 0.7939

---

Calculated volume in Å³/cell, matching the order above: 277.1; 516.4; 112.6; 252.7; 201.8; 403.7; 205.7; 310.5; 302.9; 310.4; 414.6; 242.9
Energy in eV per cell, matching the order above: -58.37; -117.21; -22.11; -48.47; -49.15; -96.22; -49.38; -75.18; -72.69; -77.26; -103.24; -39.14